Computed, not measured: an optimized crystal structure of YIn2PtI at the GGA-PBEsol level of DFT.

The structure in CIF format:
```
data_YIn2PtI
_symmetry_space_group_name_H-M 'P 4/m m m'
_symmetry_Int_Tables_number 123
_symmetry_space_group_name_Hall '-P 4 2'
_cell_length_a 5.056
_cell_length_b 5.056
_cell_length_c 5.639
_cell_angle_alpha 90.00
_cell_angle_beta 90.00
_cell_angle_gamma 90.00
loop_
_atom_site_label
_atom_site_type_symbol
_atom_site_fract_x
_atom_site_fract_y
_atom_site_fract_z
Y1 Y 0.000 0.000 0.000
In1 In 0.000 0.500 0.500
Pt1 Pt 0.500 0.500 0.500
I1 I 0.500 0.500 0.000
```

Values from the calculation:
Volume, Å³/cell: 144.2
ΔE_f (raw), meV per atom: 37